DFT (PBE) results for SmNbSb3 after structural relaxation.

```
SmNbSb3
1.0
-6.016 -0.919 0.538
1.036 -6.317 0.795
0.891 1.782 13.002
Sb Nb Sm
12 4 4
Direct
0.000 0.750 0.502
0.250 0.617 0.075
0.500 0.250 0.498
0.500 0.750 0.502
0.000 0.250 0.498
0.750 0.507 0.230
0.250 0.493 0.770
0.250 0.117 0.925
0.250 0.993 0.230
0.750 0.383 0.925
0.750 0.007 0.770
0.750 0.883 0.075
0.000 0.750 0.903
0.500 0.750 0.903
0.000 0.250 0.097
0.500 0.250 0.097
0.750 0.995 0.315
0.750 0.495 0.685
0.250 0.505 0.315
0.250 0.005 0.685
```

Summary:
total magnetization: 0.000 μB per formula unit
total energy: -6.013 eV/atom
ΔE_f (raw): -582 meV per atom